Below is crystalline Ru4PtPb at its relaxed geometry, with properties calculated at the GGA-PBE level.

Summary:
Crystal system: cubic
Calculated total energy (eV per atom): -7.15
DFT formation energy (eV per atom): 0.660

abc: 5.1880 5.1880 5.1880
angles: 60.00 60.00 60.00
Closest atoms and distances in Å follow each position.
Atoms (fractional coordinates):
Ru1 0.3739 0.8782 0.3739  6 Ru 2.57-2.62
Ru2 0.3739 0.3739 0.3739  6 Ru 2.57-2.62
Ru3 0.8782 0.3739 0.3739  6 Ru 2.57-2.62
Pb1 0.7500 0.7500 0.7500  12 Ru 3.04, 4 Pt 3.18
Pt1 0.0000 0.0000 0.0000  12 Ru 3.04, 4 Pb 3.18
Ru4 0.3739 0.3739 0.8782  6 Ru 2.57-2.62